An optimized crystal structure of LiRe2Sb, computed with PBE-GGA.

Calculated values
E: -29.3 eV per cell
total magnetization: 0.0 μB/cell
symmetry: C2/m
V: 65.9 Å³ per cell

a = 4.8115 Å, b = 4.8115 Å, c = 4.6830 Å
α = 82.88°, β = 82.88°, γ = 37.81°
Positions (direct):
1 Re 0.0015 0.0015 0.9551
2 Re 0.4985 0.4985 0.5449
3 Li 0.7500 0.7500 0.7500
4 Sb 0.2500 0.2500 0.2500